# CsTbNiSe3

A geometry-optimized CsTbNiSe3 structure (PBE-GGA, OQMD).

Properties
Energy above the lowest structure with this stoichiometry ... 2 meV/atom
Crystal system ... orthorhombic

a b c (Å): 16.2399 4.1064 11.0223
angles (deg): 90.00 90.00 90.00
With the nearest neighbours (Å) after each atom.
Element x y z (fractional)
Cs 0.2328 0.2500 0.0166  7 Se 3.58-3.84
Cs 0.2672 0.7500 0.5166  7 Se 3.58-3.84
Cs 0.7328 0.2500 0.4834  7 Se 3.58-3.84
Cs 0.7672 0.7500 0.9834  7 Se 3.58-3.84
Tb 0.0218 0.2500 0.3460  6 Se 2.82-2.94
Tb 0.4782 0.7500 0.8460  6 Se 2.82-2.94
Tb 0.5218 0.2500 0.1540  6 Se 2.82-2.94
Tb 0.9782 0.7500 0.6540  6 Se 2.82-2.94
Ni 0.0142 0.7500 0.0901  4 Se 2.33-2.42
Ni 0.4858 0.2500 0.5901  4 Se 2.33-2.42
Ni 0.5142 0.7500 0.4099  4 Se 2.33-2.42
Ni 0.9858 0.2500 0.9099  4 Se 2.33-2.42
Se 0.0616 0.7500 0.8906  3 Ni 2.33-2.40
Se 0.0922 0.2500 0.5802  3 Tb 2.82-2.88
Se 0.1224 0.7500 0.2408  1 Ni 2.42
Se 0.3776 0.2500 0.7408  1 Ni 2.42
Se 0.4078 0.7500 0.0802  3 Tb 2.82-2.88
Se 0.4384 0.2500 0.3906  3 Ni 2.33-2.40
Se 0.5616 0.7500 0.6094  3 Ni 2.33-2.40
Se 0.5922 0.2500 0.9198  3 Tb 2.82-2.88
Se 0.6224 0.7500 0.2592  1 Ni 2.42
Se 0.8776 0.2500 0.7592  1 Ni 2.42
Se 0.9078 0.7500 0.4198  3 Tb 2.82-2.88
Se 0.9384 0.2500 0.1094  3 Ni 2.33-2.40

# YNi2B

A geometry-optimized YNi2B structure (PBE-GGA, OQMD).

Properties
Raw total energy ... -5.842 eV per atom
Crystal system ... cubic

a b c (Å): 6.0429 6.0429 6.0429
angles (deg): 90.00 90.00 90.00
With the nearest neighbours (Å) after each atom.
Element x y z (fractional)
Y 0.0000 0.0000 0.0000  4 Ni 2.62, 4 B 2.62
Y 0.0000 0.5000 0.5000  4 Ni 2.62, 4 B 2.62
Y 0.5000 0.0000 0.5000  4 Ni 2.62, 4 B 2.62
Y 0.5000 0.5000 0.0000  4 Ni 2.62, 4 B 2.62
Ni 0.0000 0.0000 0.5000  4 B 2.62, 4 Ni 2.62
Ni 0.0000 0.5000 0.0000  4 B 2.62, 4 Ni 2.62
Ni 0.2500 0.2500 0.2500  4 Ni 2.62, 4 Y 2.62
Ni 0.2500 0.7500 0.7500  4 Ni 2.62, 4 Y 2.62
Ni 0.5000 0.0000 0.0000  4 B 2.62, 4 Ni 2.62
Ni 0.5000 0.5000 0.5000  4 B 2.62, 4 Ni 2.62
Ni 0.7500 0.2500 0.7500  4 Ni 2.62, 4 Y 2.62
Ni 0.7500 0.7500 0.2500  4 Ni 2.62, 4 Y 2.62
B 0.2500 0.2500 0.7500  4 Ni 2.62, 4 Y 2.62
B 0.2500 0.7500 0.2500  4 Ni 2.62, 4 Y 2.62
B 0.7500 0.2500 0.2500  4 Ni 2.62, 4 Y 2.62
B 0.7500 0.7500 0.7500  4 Ni 2.62, 4 Y 2.62